1.
KBe2 | GGA-PBE | relaxed

a b c (Å): 11.539 11.539 4.010
angles (deg): 90.00 90.00 166.97
Fractional coordinates of all 6 atoms:
Be (0.246, 0.754, 0.750)
Be (0.754, 0.246, 0.250)
Be (0.491, 0.509, 0.250)
K (0.880, 0.120, 0.750)
Be (0.509, 0.491, 0.750)
K (0.120, 0.880, 0.250)

Output
For the relative energy among the computed polymorphs, the calculation gives 0.436 eV/atom. As for the formation energy from the elements: 868 meV/atom. As for the space-group type: No. 63. The value obtained for the calculated total energy is -11.89 eV per cell.

---

2.
KCdIn2Au | GGA-PBE | relaxed

a b c (Å): 5.494 5.494 5.398
angles (deg): 90.00 90.00 90.00
Fractional coordinates of all 5 atoms:
In (0.000, 0.500, 0.000)
K (0.500, 0.500, 0.500)
In (0.500, 0.000, 0.000)
Au (0.000, 0.000, 0.000)
Cd (0.000, 0.000, 0.500)

Output
For the relative energy among the computed polymorphs, the calculation gives 0.153 eV/atom. As for the formation energy from the elements: -51 meV/atom. As for the space-group type: No. 123. The value obtained for the calculated total energy is -11.02 eV per cell.

---

3.
La6FeCu2 | GGA-PBE | relaxed

a b c (Å): 6.887 7.445 10.518
angles (deg): 90.00 86.20 90.00
Fractional coordinates of all 18 atoms:
La (0.330, 0.808, 0.932)
La (0.670, 0.192, 0.068)
Cu (0.945, 0.402, 0.234)
La (0.861, 0.961, 0.751)
La (0.361, 0.539, 0.251)
La (0.139, 0.039, 0.249)
Cu (0.555, 0.902, 0.266)
Fe (0.500, 0.500, 0.000)
La (0.170, 0.308, 0.568)
La (0.692, 0.190, 0.439)
Cu (0.445, 0.098, 0.734)
Cu (0.055, 0.598, 0.766)
La (0.830, 0.692, 0.432)
La (0.639, 0.461, 0.749)
La (0.808, 0.690, 0.061)
Fe (0.000, 0.000, 0.500)
La (0.308, 0.810, 0.561)
La (0.192, 0.310, 0.939)

Output
As for the formation energy from the elements: -34 meV/atom. As for the space-group type: No. 14. The value obtained for the calculated total energy is -93.06 eV per cell.

---

4.
AgTeAsI2 | GGA-PBE | relaxed

a b c (Å): 5.525 5.525 5.708
angles (deg): 90.00 90.00 90.00
Site moments in Bohr magnetons follow the coordinates.
Fractional coordinates of all 5 atoms:
As (0.500, 0.500, 0.500)  0.81
Te (0.000, 0.000, 0.500)  -0.31
I (0.500, 0.000, 0.000)  0.01
Ag (0.000, 0.000, 0.000)  0.01
I (0.000, 0.500, 0.000)  0.01

Output
For the relative energy among the computed polymorphs, the calculation gives 0.265 eV/atom. As for the space-group type: No. 123. The value obtained for the calculated total energy is -10.44 eV per cell. As for the energy relative to the elements, uncorrected: 660 meV per atom.

---

5.
Ti8BiC4 | GGA-PBE | relaxed

a b c (Å): 3.146 7.631 7.986
angles (deg): 81.38 78.64 78.11
Fractional coordinates of all 13 atoms:
Ti (0.848, 0.988, 0.315)
C (0.849, 0.507, 0.796)
C (0.183, 0.497, 0.137)
C (0.664, 0.171, 0.501)
Bi (0.516, 0.002, 0.967)
Ti (0.805, 0.350, 0.039)
Ti (0.555, 0.646, 0.245)
C (0.367, 0.832, 0.433)
Ti (0.183, 0.015, 0.619)
Ti (0.477, 0.357, 0.689)
Ti (0.226, 0.653, 0.895)
Ti (0.884, 0.675, 0.558)
Ti (0.148, 0.329, 0.376)

Output
As for the formation energy from the elements: -630 meV/atom. As for the space-group type: No. 12. The value obtained for the calculated total energy is -112.13 eV per cell.

---

6.
CsTiP3 | GGA-PBE | relaxed

a b c (Å): 5.196 5.196 5.196
angles (deg): 90.00 90.00 90.00
Fractional coordinates of all 5 atoms:
P (0.000, 0.000, 0.500)
Ti (0.500, 0.500, 0.500)
P (0.500, 0.000, 0.000)
Cs (0.000, 0.000, 0.000)
P (0.000, 0.500, 0.000)

Output
For the relative energy among the computed polymorphs, the calculation gives 2.259 eV/atom. As for the formation energy from the elements: 2196 meV/atom. As for the space-group type: No. 221. The value obtained for the calculated total energy is -14.00 eV per cell.

---

Question: The lowest calculated total energy belongs to which entry?
Answer: Ti8BiC4

---

Question: Which value of calculated total energy does entry 1 give?
Answer: -11.89 eV per cell

---

Question: The highest calculated total energy belongs to which entry?
Answer: AgTeAsI2